Here is a geometry-optimized NaPWO6 structure from the Alexandria database. Energies are from PBE+U.

a = 4.943 Å, b = 4.943 Å, c = 5.217 Å
α = 90.00°, β = 90.00°, γ = 120.00°
Element x y z (fractional)
1 Na 0.000 0.000 0.000
2 P 0.667 0.333 0.500
3 W 0.333 0.667 0.500
4 O 0.397 0.033 0.692
5 O 0.397 0.364 0.308
6 O 0.636 0.033 0.308
7 O 0.636 0.603 0.692
8 O 0.967 0.364 0.692
9 O 0.967 0.603 0.308

Calculated values
energy above the lowest structure with this stoichiometry	199	meV per atom
density	5020	kg/m3
total moment	0.000	μB per cell
space group	No. 149